Record 1
## Pr3Y7Th (PBE-GGA)

Data for a relaxed Pr3Y7Th crystal.

Calculated values
E above lowest polymorph (eV/f.u.): 0.00
DFT formation energy (kJ/mol of formula units): 162
Density of states at the Fermi level (states/eV/cell): 73.32
Magnetization (μB/f.u.): 0.00

CIF file:
```
data_Pr3Y7Th
_cell_length_a 7.0379
_cell_length_b 19.1884
_cell_length_c 11.1557
_cell_angle_alpha 90.00
_cell_angle_beta 90.76
_cell_angle_gamma 90.00
_symmetry_space_group_name_H-M 'C 1 2/c 1'
_symmetry_Int_Tables_number 15
_symmetry_space_group_name_Hall '-C 2yc'
loop_
_atom_site_label
_atom_site_type_symbol
_atom_site_fract_x
_atom_site_fract_y
_atom_site_fract_z
_atom_site_occupancy
Pr1 Pr 0.2401 0.0112 0.2521 1
Pr2 Pr 0.2500 0.2500 0.5000 1
Y1 Y 0.0000 0.1644 0.7500 1
Y2 Y 0.0000 0.2050 0.2500 1
Y3 Y 0.0000 0.3362 0.7500 1
Y4 Y 0.0021 0.4079 0.0420 1
Y5 Y 0.0036 0.0881 0.0129 1
Th1 Th 0.2500 0.2500 0.0000 1
```

---

Record 2
## Pr5YTh (PBE-GGA)

Data for a relaxed Pr5YTh crystal.

Calculated values
DFT formation energy (kJ/mol of formula units): 97
Density of states at the Fermi level (states/eV/cell): 41.71
Magnetization (μB/f.u.): 0.00

CIF file:
```
data_Pr5YTh
_cell_length_a 8.7707
_cell_length_b 9.9954
_cell_length_c 11.9136
_cell_angle_alpha 90.00
_cell_angle_beta 108.78
_cell_angle_gamma 90.00
_symmetry_space_group_name_H-M 'C 1 2/c 1'
_symmetry_Int_Tables_number 15
_symmetry_space_group_name_Hall '-C 2yc'
loop_
_atom_site_label
_atom_site_type_symbol
_atom_site_fract_x
_atom_site_fract_y
_atom_site_fract_z
_atom_site_occupancy
Pr1 Pr 0.0000 0.1068 0.2500 1
Pr2 Pr 0.1164 0.4410 0.1601 1
Pr3 Pr 0.1704 0.1010 0.0362 1
Y1 Y 0.0000 0.2420 0.7500 1
Th1 Th 0.2500 0.2500 0.5000 1
```

---

Record 3
## PrY2Th (PBE-GGA)

Data for a relaxed PrY2Th crystal.

Calculated values
E above lowest polymorph (eV/f.u.): 0.23
DFT formation energy (kJ/mol of formula units): 28
Density of states at the Fermi level (states/eV/cell): 24.34
Magnetization (μB/f.u.): 0.00

CIF file:
```
data_PrY2Th
_cell_length_a 3.5242
_cell_length_b 27.8685
_cell_length_c 5.4995
_cell_angle_alpha 90.00
_cell_angle_beta 90.00
_cell_angle_gamma 90.00
_symmetry_space_group_name_H-M 'C m c m'
_symmetry_Int_Tables_number 63
_symmetry_space_group_name_Hall '-C 2c 2'
loop_
_atom_site_label
_atom_site_type_symbol
_atom_site_fract_x
_atom_site_fract_y
_atom_site_fract_z
_atom_site_occupancy
Pr1 Pr 0.0000 0.2174 0.2500 1
Y1 Y 0.0000 0.0892 0.2500 1
Y2 Y 0.0000 0.3466 0.2500 1
Th1 Th 0.0000 0.4710 0.2500 1
```

---

Record 4
## PrY6Th3 (PBE-GGA)

Data for a relaxed PrY6Th3 crystal.

Calculated values
DFT formation energy (kJ/mol of formula units): 107
Density of states at the Fermi level (states/eV/cell): 30.80
Magnetization (μB/f.u.): 0.00

CIF file:
```
data_PrY6Th3
_cell_length_a 11.1730
_cell_length_b 3.4971
_cell_length_c 17.6765
_cell_angle_alpha 90.00
_cell_angle_beta 106.72
_cell_angle_gamma 90.00
_symmetry_space_group_name_H-M 'P 1 21/m 1'
_symmetry_Int_Tables_number 11
_symmetry_space_group_name_Hall '-P 2yb'
loop_
_atom_site_label
_atom_site_type_symbol
_atom_site_fract_x
_atom_site_fract_y
_atom_site_fract_z
_atom_site_occupancy
Pr1 Pr 0.0650 0.2500 0.3462 1
Y1 Y 0.1580 0.2500 0.5572 1
Y2 Y 0.1581 0.7500 0.0318 1
Y3 Y 0.2458 0.7500 0.7556 1
Y4 Y 0.2617 0.7500 0.2454 1
Y5 Y 0.3642 0.2500 0.9415 1
Y6 Y 0.4637 0.7500 0.6493 1
Th1 Th 0.0498 0.2500 0.8458 1
Th2 Th 0.3555 0.7500 0.4530 1
Th3 Th 0.4366 0.2500 0.1445 1
```

---

Record 5
## Pr5YTh2 (PBE-GGA)

Data for a relaxed Pr5YTh2 crystal.

Calculated values
DFT formation energy (kJ/mol of formula units): 80
Density of states at the Fermi level (states/eV/cell): 24.52
Magnetization (μB/f.u.): 0.00

CIF file:
```
data_Pr5YTh2
_cell_length_a 3.5851
_cell_length_b 11.4974
_cell_length_c 13.5348
_cell_angle_alpha 90.00
_cell_angle_beta 90.00
_cell_angle_gamma 90.00
_symmetry_space_group_name_H-M 'I m m m'
_symmetry_Int_Tables_number 71
_symmetry_space_group_name_Hall '-I 2 2'
loop_
_atom_site_label
_atom_site_type_symbol
_atom_site_fract_x
_atom_site_fract_y
_atom_site_fract_z
_atom_site_occupancy
Pr1 Pr 0.0000 0.0000 0.0000 1
Pr2 Pr 0.0000 0.2604 0.3699 1
Y1 Y 0.0000 0.5000 0.0000 1
Th1 Th 0.0000 0.0000 0.2577 1
```

---

Record 6
## Pr2Y5Th (PBE-GGA)

Data for a relaxed Pr2Y5Th crystal.

Calculated values
DFT formation energy (kJ/mol of formula units): 23
Density of states at the Fermi level (states/eV/cell): 24.10
Magnetization (μB/f.u.): 0.00

CIF file:
```
data_Pr2Y5Th
_cell_length_a 7.1967
_cell_length_b 14.4287
_cell_length_c 5.1292
_cell_angle_alpha 90.00
_cell_angle_beta 90.00
_cell_angle_gamma 90.00
_symmetry_space_group_name_H-M 'P b a m'
_symmetry_Int_Tables_number 55
_symmetry_space_group_name_Hall '-P 2 2ab'
loop_
_atom_site_label
_atom_site_type_symbol
_atom_site_fract_x
_atom_site_fract_y
_atom_site_fract_z
_atom_site_occupancy
Pr1 Pr 0.2486 0.1231 0.0000 1
Y1 Y 0.0000 0.5000 0.5000 1
Y2 Y 0.0070 0.2478 0.5000 1
Y3 Y 0.2398 0.8779 0.0000 1
Th1 Th 0.0000 0.0000 0.5000 1
```

---

Record 7
## Pr6YTh3 (PBE-GGA)

Data for a relaxed Pr6YTh3 crystal.

Calculated values
DFT formation energy (kJ/mol of formula units): 63
Density of states at the Fermi level (states/eV/cell): 33.17
Magnetization (μB/f.u.): 0.00

CIF file:
```
data_Pr6YTh3
_cell_length_a 3.6437
_cell_length_b 13.1996
_cell_length_c 14.6352
_cell_angle_alpha 98.04
_cell_angle_beta 90.27
_cell_angle_gamma 97.90
_symmetry_space_group_name_H-M 'P -1'
_symmetry_Int_Tables_number 2
_symmetry_space_group_name_Hall '-P 1'
loop_
_atom_site_label
_atom_site_type_symbol
_atom_site_fract_x
_atom_site_fract_y
_atom_site_fract_z
_atom_site_occupancy
Pr1 Pr 0.0022 0.0028 0.3801 1
Pr2 Pr 0.1994 0.3951 0.4242 1
Pr3 Pr 0.2012 0.4050 0.9245 1
Pr4 Pr 0.3993 0.8010 0.7291 1
Pr5 Pr 0.4016 0.8018 0.9725 1
Pr6 Pr 0.4034 0.8062 0.2279 1
Y1 Y 0.1995 0.4010 0.6752 1
Th1 Th 0.0008 0.9987 0.1200 1
Th2 Th 0.2016 0.4025 0.1776 1
Th3 Th 0.3983 0.7962 0.4708 1
```

---

Record 8
## Pr7Y16Th6 (PBE-GGA)

Data for a relaxed Pr7Y16Th6 crystal.

Calculated values
DFT formation energy (kJ/mol of formula units): 942
Density of states at the Fermi level (states/eV/cell): 234.85
Magnetization (μB/f.u.): 1.67

CIF file:
```
data_Pr7Y16Th6
_cell_length_a 15.8634
_cell_length_b 15.8634
_cell_length_c 15.8634
_cell_angle_alpha 90.00
_cell_angle_beta 90.00
_cell_angle_gamma 90.00
_symmetry_space_group_name_H-M 'F m -3 m'
_symmetry_Int_Tables_number 225
_symmetry_space_group_name_Hall '-F 4 2 3'
loop_
_atom_site_label
_atom_site_type_symbol
_atom_site_fract_x
_atom_site_fract_y
_atom_site_fract_z
_atom_site_occupancy
Pr1 Pr 0.0000 0.0000 0.0000 1
Pr2 Pr 0.0000 0.2500 0.2500 1
Y1 Y 0.1212 0.1212 0.1212 1
Y2 Y 0.1584 0.1584 0.3416 1
Th1 Th 0.0000 0.0000 0.3327 1
```

---

Record 9
## PrY3Th (PBE-GGA)

Data for a relaxed PrY3Th crystal.

Calculated values
E above lowest polymorph (eV/f.u.): 1.27
DFT formation energy (kJ/mol of formula units): 145
Density of states at the Fermi level (states/eV/cell): 14.84
Magnetization (μB/f.u.): 0.00

CIF file:
```
data_PrY3Th
_cell_length_a 3.6390
_cell_length_b 11.7201
_cell_length_c 8.7234
_cell_angle_alpha 90.00
_cell_angle_beta 102.03
_cell_angle_gamma 90.00
_symmetry_space_group_name_H-M 'P 1 21/m 1'
_symmetry_Int_Tables_number 11
_symmetry_space_group_name_Hall '-P 2yb'
loop_
_atom_site_label
_atom_site_type_symbol
_atom_site_fract_x
_atom_site_fract_y
_atom_site_fract_z
_atom_site_occupancy
Pr1 Pr 0.0278 0.2500 0.0502 1
Y1 Y 0.1584 0.0001 0.3171 1
Y2 Y 0.3570 0.2500 0.7117 1
Th1 Th 0.3046 0.7500 0.6115 1
```

---

Record 10
## Pr3Y6Th2 (PBE-GGA)

Data for a relaxed Pr3Y6Th2 crystal.

Calculated values
DFT formation energy (kJ/mol of formula units): 227
Density of states at the Fermi level (states/eV/cell): 32.60
Magnetization (μB/f.u.): 0.00

CIF file:
```
data_Pr3Y6Th2
_cell_length_a 6.2127
_cell_length_b 10.8235
_cell_length_c 11.6560
_cell_angle_alpha 90.00
_cell_angle_beta 100.81
_cell_angle_gamma 90.00
_symmetry_space_group_name_H-M 'C 1 2/m 1'
_symmetry_Int_Tables_number 12
_symmetry_space_group_name_Hall '-C 2y'
loop_
_atom_site_label
_atom_site_type_symbol
_atom_site_fract_x
_atom_site_fract_y
_atom_site_fract_z
_atom_site_occupancy
Pr1 Pr 0.0000 0.0000 0.0000 1
Pr2 Pr 0.0000 0.3352 0.0000 1
Y1 Y 0.2441 0.3339 0.7406 1
Y2 Y 0.2445 0.0000 0.7435 1
Th1 Th 0.0000 0.1634 0.5000 1
```

---

Record 11
## Pr8Y3Th (PBE-GGA)

Data for a relaxed Pr8Y3Th crystal.

Calculated values
DFT formation energy (kJ/mol of formula units): 50
Density of states at the Fermi level (states/eV/cell): 42.43
Magnetization (μB/f.u.): 0.00

CIF file:
```
data_Pr8Y3Th
_cell_length_a 11.1108
_cell_length_b 11.8965
_cell_length_c 6.3994
_cell_angle_alpha 90.00
_cell_angle_beta 90.00
_cell_angle_gamma 90.00
_symmetry_space_group_name_H-M 'I m m 2'
_symmetry_Int_Tables_number 44
_symmetry_space_group_name_Hall 'I 2 -2'
loop_
_atom_site_label
_atom_site_type_symbol
_atom_site_fract_x
_atom_site_fract_y
_atom_site_fract_z
_atom_site_occupancy
Pr1 Pr 0.1610 0.0000 0.0000 1
Pr2 Pr 0.1625 0.2489 0.3377 1
Pr3 Pr 0.1678 0.5000 0.9953 1
Y1 Y 0.0000 0.2498 0.8257 1
Y2 Y 0.0000 0.5000 0.4996 1
Th1 Th 0.0000 0.0000 0.5075 1
```

---

Record 12
## Pr5Y6Th2 (PBE-GGA)

Data for a relaxed Pr5Y6Th2 crystal.

Calculated values
DFT formation energy (kJ/mol of formula units): 140
Density of states at the Fermi level (states/eV/cell): 36.95
Magnetization (μB/f.u.): 0.00

CIF file:
```
data_Pr5Y6Th2
_cell_length_a 11.6820
_cell_length_b 21.1663
_cell_length_c 3.6245
_cell_angle_alpha 90.00
_cell_angle_beta 90.00
_cell_angle_gamma 90.00
_symmetry_space_group_name_H-M 'P b a m'
_symmetry_Int_Tables_number 55
_symmetry_space_group_name_Hall '-P 2 2ab'
loop_
_atom_site_label
_atom_site_type_symbol
_atom_site_fract_x
_atom_site_fract_y
_atom_site_fract_z
_atom_site_occupancy
Pr1 Pr 0.0000 0.0000 0.0000 1
Pr2 Pr 0.0638 0.2933 0.0000 1
Pr3 Pr 0.1926 0.5772 0.0000 1
Y1 Y 0.0637 0.1472 0.5000 1
Y2 Y 0.0797 0.4368 0.5000 1
Y3 Y 0.1865 0.8758 0.0000 1
Th1 Th 0.1890 0.7350 0.5000 1
```